An optimized crystal structure of AcSmCuRu. Source: Alexandria via LeMat-Bulk, functional PBE.

Output
The crystal system is orthorhombic. For the energy of formation, the calculation gives -0.6 eV/f.u. The density of states at the Fermi level comes out at 0.710 states/eV per atom. Its total DFT energy (no corrections) is -5.704 eV/atom. For the energy above the most stable polymorph in this dataset, the calculation gives 0 kJ/mol of formula units.

abc: 4.323 5.921 5.921
angles: 40.65 90.00 90.00
Element x y z (fractional)
1 Ac 0.000 0.000 0.000
2 Sm 0.500 0.720 0.720
3 Cu 0.500 0.419 0.419
4 Ru 0.000 0.276 0.276